1.
A relaxed CrRuBr2 crystal, computed with PBE.

Values from the calculation:
The uncorrected formation energy is 113 kJ/mol of formula units. The space-group type is C2/m. The calculation puts the total moment at 0.92 μB per atom. For the energy above the most stable polymorph in this dataset, the calculation gives 0.219 eV/atom.

Lattice parameters (Å, degrees): 7.307 7.307 4.335 81.87 81.87 25.59
Site moments in Bohr magnetons follow the coordinates.
Element x y z (fractional)
Cr 0.750 0.750 0.750  2.86
Br 0.115 0.115 0.956  -0.03
Br 0.385 0.385 0.544  -0.03
Ru 0.250 0.250 0.250  0.59

2.
A relaxed CrRuBr2 crystal, computed with PBE.

Values from the calculation:
The uncorrected formation energy is 135 kJ/mol of formula units. The space-group type is Imm2. The calculation puts the total moment at 0.05 μB per atom. For the energy above the most stable polymorph in this dataset, the calculation gives 0.276 eV/atom.

Lattice parameters (Å, degrees): 8.934 8.934 8.934 158.64 159.69 29.64
Site moments in Bohr magnetons follow the coordinates.
Element x y z (fractional)
Br 0.010 0.010 0.000  0.00
Br 0.736 0.236 0.500  -0.02
Ru 0.334 0.834 0.500  -0.18
Cr 0.419 0.419 0.000  0.38

3.
A relaxed CrRuBr2 crystal, computed with PBE.

Values from the calculation:
The uncorrected formation energy is 274 kJ/mol of formula units. The space-group type is Cmmm. The calculation puts the total moment at 1.67 μB per atom. For the energy above the most stable polymorph in this dataset, the calculation gives 0.635 eV/atom.

Lattice parameters (Å, degrees): 3.571 3.571 8.094 90.00 90.00 122.71
Site moments in Bohr magnetons follow the coordinates.
Element x y z (fractional)
Br 0.000 0.000 0.006  0.05
Br 0.000 0.000 0.494  0.05
Ru 0.500 0.500 0.750  1.94
Cr 0.500 0.500 0.250  3.98

4.
A relaxed CrRuBr2 crystal, computed with PBE.

Values from the calculation:
The uncorrected formation energy is 249 kJ/mol of formula units. The space-group type is Pmmm. The calculation puts the total moment at 0.68 μB per atom. For the energy above the most stable polymorph in this dataset, the calculation gives 0.572 eV/atom.

Lattice parameters (Å, degrees): 3.263 6.092 4.180 90.00 90.00 90.00
Site moments in Bohr magnetons follow the coordinates.
Element x y z (fractional)
Br 0.000 0.000 0.000  -0.02
Br 0.500 0.500 0.000  -0.05
Cr 0.500 0.000 0.500  3.92
Ru 0.000 0.500 0.500  -1.53

5.
A relaxed CrRu3Br crystal, computed with PBE.

Values from the calculation:
The uncorrected formation energy is 949 kJ/mol of formula units. The space-group type is Pm-3m. The calculation puts the total moment at 0.14 μB per atom. For the energy above the most stable polymorph in this dataset, the calculation gives 0.458 eV/atom.

Lattice parameters (Å, degrees): 4.484 4.484 4.484 90.00 90.00 90.00
Site moments in Bohr magnetons follow the coordinates.
Element x y z (fractional)
Br 0.000 0.000 0.000  0.01
Cr 0.500 0.500 0.500  -0.21
Ru 0.000 0.000 0.500  0.35
Ru 0.500 0.000 0.000  0.24
Ru 0.000 0.500 0.000  0.30

6.
A relaxed CrRuBr2 crystal, computed with PBE.

Values from the calculation:
The uncorrected formation energy is 85 kJ/mol of formula units. The space-group type is Immm. The calculation puts the total moment at 1.00 μB per atom. For the energy above the most stable polymorph in this dataset, the calculation gives 0.146 eV/atom.

Lattice parameters (Å, degrees): 7.170 7.170 7.170 150.72 146.59 45.01
Site moments in Bohr magnetons follow the coordinates.
Element x y z (fractional)
Cr 0.750 0.250 0.500  3.60
Br 0.384 0.384 0.000  0.00
Br 0.116 0.116 0.000  0.00
Ru 0.250 0.750 0.500  -0.03

7.
A relaxed CrRuBr2 crystal, computed with PBE.

Values from the calculation:
The uncorrected formation energy is 266 kJ/mol of formula units. The space-group type is R-3m. The calculation puts the total moment at 1.79 μB per atom. For the energy above the most stable polymorph in this dataset, the calculation gives 0.616 eV/atom.

Lattice parameters (Å, degrees): 7.745 7.745 7.745 27.10 27.10 27.10
Site moments in Bohr magnetons follow the coordinates.
Element x y z (fractional)
Br 0.999 0.999 0.999  0.07
Br 0.501 0.501 0.501  0.07
Cr 0.250 0.250 0.250  4.12
Ru 0.750 0.750 0.750  2.16

8.
A relaxed CrRuBr2 crystal, computed with PBE.

Values from the calculation:
The uncorrected formation energy is 393 kJ/mol of formula units. The space-group type is R-3m. The calculation puts the total moment at 0.39 μB per atom. For the energy above the most stable polymorph in this dataset, the calculation gives 0.945 eV/atom.

Lattice parameters (Å, degrees): 8.556 8.556 8.556 21.87 21.87 21.87
Site moments in Bohr magnetons follow the coordinates.
Element x y z (fractional)
Br 0.092 0.092 0.092  0.06
Br 0.908 0.908 0.908  0.06
Ru 0.500 0.500 0.500  1.14
Cr 0.000 0.000 0.000  0.24

> What is the formula in the sixth record?

CrRuBr2

Repeat the third record exactly.
A relaxed CrRuBr2 crystal, computed with PBE.

Values from the calculation:
The uncorrected formation energy is 274 kJ/mol of formula units. The space-group type is Cmmm. The calculation puts the total moment at 1.67 μB per atom. For the energy above the most stable polymorph in this dataset, the calculation gives 0.635 eV/atom.

Lattice parameters (Å, degrees): 3.571 3.571 8.094 90.00 90.00 122.71
Site moments in Bohr magnetons follow the coordinates.
Element x y z (fractional)
Br 0.000 0.000 0.006  0.05
Br 0.000 0.000 0.494  0.05
Ru 0.500 0.500 0.750  1.94
Cr 0.500 0.500 0.250  3.98

> Look up the energy above the most stable polymorph in this dataset of the fifth one.

0.458 eV/atom

Repeat the fifth record exactly.
A relaxed CrRu3Br crystal, computed with PBE.

Values from the calculation:
The uncorrected formation energy is 949 kJ/mol of formula units. The space-group type is Pm-3m. The calculation puts the total moment at 0.14 μB per atom. For the energy above the most stable polymorph in this dataset, the calculation gives 0.458 eV/atom.

Lattice parameters (Å, degrees): 4.484 4.484 4.484 90.00 90.00 90.00
Site moments in Bohr magnetons follow the coordinates.
Element x y z (fractional)
Br 0.000 0.000 0.000  0.01
Cr 0.500 0.500 0.500  -0.21
Ru 0.000 0.000 0.500  0.35
Ru 0.500 0.000 0.000  0.24
Ru 0.000 0.500 0.000  0.30